Record 1
Material: MgRhAu2
Method: DFT, meta-GGA SCAN
State: PBEsol geometry

Cell: 3.3058 3.3058 5.8764 Å, 90.00 90.00 90.00°
With the nearest neighbours (Å) after each atom.
Fractional positions:
Rh1 0.5000 0.5000 0.7436  4 Mg 2.71, 6 Au 2.75-3.00
Au1 0.0000 0.0000 0.9916  4 Rh 2.75, 4 Au 2.80, 2 Mg 2.83-3.05
Au2 0.5000 0.5000 0.2543  4 Mg 2.78, 4 Au 2.80, 2 Rh 2.88-3.00
Mg1 0.0000 0.0000 0.5105  4 Rh 2.71, 5 Au 2.78-2.83

Properties
Uncorrected energy (eV/atom): -44.57
Calculated volume (A^3/atom): 16.05

---

Record 2
Material: ZrPb2W
Method: DFT, meta-GGA SCAN
State: PBEsol geometry

Cell: 3.1320 5.5998 5.5998 Å, 112.64 101.08 101.08°
With the nearest neighbours (Å) after each atom.
Fractional positions:
Zr1 0.5000 0.5000 0.5000  4 Pb 2.93, 2 W 3.11, 2 Zr 3.13
Pb1 0.0000 0.5000 0.0000  2 Zr 2.93, 2 W 2.93, 4 Pb 3.11-3.13
Pb2 0.0000 0.0000 0.5000  2 W 2.93, 2 Zr 2.93, 4 Pb 3.11-3.13
W1 0.5000 0.0000 0.0000  4 Pb 2.93, 2 Zr 3.11, 2 W 3.13

Properties
Calculated volume (A^3/atom): 21.26
Energy relative to the lowest polymorph listed for this composition (meV/atom): 23

---

Record 3
Material: CaFe2As2
Method: DFT, meta-GGA SCAN
State: PBEsol geometry

Cell: 4.3452 4.3452 5.2659 Å, 114.37 114.37 90.00°
With the nearest neighbours (Å) after each atom.
Fractional positions:
Fe1 0.3730 0.3730 0.7460  1 Fe 2.17, 4 As 2.41
Fe2 0.6270 0.6270 0.2540  1 Fe 2.17, 4 As 2.41
As1 0.2500 0.7500 0.5000  4 Fe 2.41
As2 0.7500 0.2500 0.5000  4 Fe 2.41
Ca1 0.0000 0.0000 0.0000  8 As 3.05, 10 Fe 3.19-3.26

Properties
Uncorrected energy (eV/atom): -17.51
Calculated volume (A^3/atom): 16.15

---

Record 4
Material: RbGa3H
Method: DFT, meta-GGA SCAN
State: PBEsol geometry

Cell: 4.6855 4.6855 4.6855 Å, 90.00 90.00 90.00°
With the nearest neighbours (Å) after each atom.
Fractional positions:
Rb1 0.5000 0.5000 0.5000  12 Ga 3.31
H1 0.0000 0.0000 0.0000  6 Ga 2.34
Ga1 0.0000 0.0000 0.5000  2 H 2.34
Ga2 0.5000 0.0000 0.0000  2 H 2.34
Ga3 0.0000 0.5000 0.0000  2 H 2.34

Properties
Uncorrected energy (eV/atom): -14.11
Calculated volume (A^3/atom): 20.57

---

Record 5
Material: AlSe3
Method: DFT, meta-GGA SCAN
State: PBEsol geometry

Cell: 4.2494 4.2494 4.2494 Å, 90.00 90.00 90.00°
With the nearest neighbours (Å) after each atom.
Fractional positions:
Se1 0.5000 0.5000 0.0000  8 Se 3.00, 4 Al 3.00
Se2 0.5000 0.0000 0.5000  8 Se 3.00, 4 Al 3.00
Se3 0.0000 0.5000 0.5000  8 Se 3.00, 4 Al 3.00
Al1 0.0000 0.0000 0.0000  12 Se 3.00

Properties
E_form (uncorrected) (meV per atom): 564
Calculated volume (A^3/atom): 19.18
Energy relative to the lowest polymorph listed for this composition (meV/atom): 744

---

Record 6
Material: GaCo3I
Method: DFT, meta-GGA SCAN
State: PBEsol geometry

Cell: 4.3577 4.3577 4.3577 Å, 90.00 90.00 90.00°
With the nearest neighbours (Å) after each atom.
Fractional positions:
Co1 0.5000 0.0000 0.0000  2 Ga 2.18
Co2 0.0000 0.5000 0.0000  2 Ga 2.18
Co3 0.0000 0.0000 0.5000  2 Ga 2.18
I1 0.5000 0.5000 0.5000  12 Co 3.08
Ga1 0.0000 0.0000 0.0000  6 Co 2.18

Properties
E_form (uncorrected) (meV per atom): 1161
Calculated volume (A^3/atom): 16.55